(i)
Density functional theory data (PBE-GGA) for a relaxed structure of GdErCo.

abc: 3.8644 3.8644 6.1645
angles: 90.00 90.00 120.00
Closest atoms and distances in Å follow each position.
Space group P3m1 (No. 156)
Asymmetric unit:
Gd 0.0000 0.0000 0.0000 (multiplicity 1)  3 Co 2.66
Er 0.3333 0.6667 0.4655 (multiplicity 1)  3 Co 2.65
Co 0.6667 0.3333 0.2346 (multiplicity 1)  3 Er 2.65, 3 Gd 2.66

As for the size of the total moment: 7.28 μB per formula unit.


(ii)
Density functional theory data (PBE-GGA) for a relaxed structure of GdErCo.

abc: 6.6217 6.6217 6.6217
angles: 90.00 90.00 90.00
Closest atoms and distances in Å follow each position.
Space group F-43m (No. 216)
Asymmetric unit:
Gd 0.0000 0.0000 0.0000 (multiplicity 4)  4 Co 2.87
Er 0.0000 0.0000 0.5000 (multiplicity 4)  4 Co 2.87
Co 0.2500 0.2500 0.2500 (multiplicity 4)  4 Gd 2.87, 4 Er 2.87

As for the size of the total moment: 7.39 μB per formula unit.


Each structure's energy above the most stable one, in kJ/mol of atoms: (i) 0.0; (ii) 0.5.